[1]
Compound: YMnW2
Source: Alexandria
Functional: GGA-PBE
Structure: relaxed

Computed properties:
DFT formation energy: 433 meV/atom
final energy: -39.8 eV per formula unit
D(E_F): 3.65 states/eV/cell
space-group type: P4/mmm

abc: 2.9755 2.9753 7.8622
angles: 90.00 90.00 90.00
Fractional coordinates of all 4 atoms:
Mn1 0.5000 0.5000 0.7500
W1 0.0000 0.0000 0.9417
W2 0.0000 0.0000 0.5583
Y1 0.5000 0.5000 0.2500

[2]
Compound: Dy2PuRu
Source: Alexandria
Functional: GGA-PBE
Structure: relaxed

Computed properties:
DFT formation energy: -228 meV/atom
final energy: -33.7 eV per formula unit
D(E_F): 36.58 states/eV/cell
space-group type: Pnma

abc: 6.2526 7.1458 9.3901
angles: 90.00 90.00 90.00
Each line ends with the local moment (μB).
Fractional coordinates of all 16 atoms:
Dy1 0.1731 0.6738 0.0638  0.21
Dy2 0.3269 0.1738 0.4362  0.21
Dy3 0.8269 0.3262 0.5638  0.21
Dy4 0.6731 0.8262 0.9362  0.21
Dy5 0.8269 0.3262 0.9362  0.21
Dy6 0.6731 0.8262 0.5638  0.21
Dy7 0.1731 0.6738 0.4362  0.21
Dy8 0.3269 0.1738 0.0638  0.21
Pu1 0.6536 0.5472 0.2500  5.16
Pu2 0.8464 0.0472 0.2500  5.16
Pu3 0.3464 0.4528 0.7500  5.16
Pu4 0.1536 0.9528 0.7500  5.16
Ru1 0.0125 0.3696 0.2500  -0.32
Ru2 0.4875 0.8696 0.2500  -0.32
Ru3 0.9875 0.6304 0.7500  -0.32
Ru4 0.5125 0.1304 0.7500  -0.32

[3]
Compound: Sr5LaCd6
Source: Alexandria
Functional: GGA-PBE
Structure: relaxed

Computed properties:
DFT formation energy: -333 meV/atom
final energy: -22.8 eV per formula unit
D(E_F): 8.41 states/eV/cell
space-group type: Cmmm

abc: 5.6920 8.1196 8.9934
angles: 90.00 71.55 90.00
Fractional coordinates of all 12 atoms:
Sr1 0.6668 0.5000 0.6663
Sr2 0.3322 0.0000 0.3355
Sr3 0.0000 0.5000 0.0000
Sr4 0.6678 0.0000 0.6645
Sr5 0.3332 0.5000 0.3337
Cd1 0.8371 0.7552 0.3258
Cd2 0.8371 0.2448 0.3258
Cd3 0.5000 0.2382 0.0000
Cd4 0.5000 0.7618 0.0000
Cd5 0.1629 0.7552 0.6742
Cd6 0.1629 0.2448 0.6742
La1 0.0000 0.0000 0.0000

[4]
Compound: DyGa7Co5
Source: Alexandria
Functional: GGA-PBE
Structure: relaxed

Computed properties:
DFT formation energy: -346 meV/atom
final energy: -65.8 eV per formula unit
D(E_F): 9.11 states/eV/cell
space-group type: Imm2

abc: 5.0937 6.5099 6.5099
angles: 82.01 66.97 66.97
Each line ends with the local moment (μB).
Fractional coordinates of all 13 atoms:
Dy1 0.0060 0.9940 0.9940  -0.01
Ga1 0.6590 0.3409 0.3409  0.00
Ga2 0.3398 0.6602 0.6602  0.00
Ga3 0.9801 0.3606 0.6792  0.00
Ga4 0.9801 0.6792 0.3606  0.00
Ga5 0.2682 0.2318 0.2318  0.00
Ga6 0.5152 0.7848 0.1847  0.00
Ga7 0.5152 0.1847 0.7848  0.00
Co1 0.4899 0.0059 0.4923  0.03
Co2 0.0118 0.0059 0.4923  0.03
Co3 0.4899 0.4923 0.0059  0.03
Co4 0.0118 0.4923 0.0059  0.03
Co5 0.7327 0.7673 0.7673  0.19

[5]
Compound: Ba3IrF6
Source: Alexandria
Functional: GGA-PBE
Structure: relaxed

Computed properties:
final energy: -53.1 eV per formula unit
space-group type: P-1
energy relative to the elements, uncorrected: -2720 meV/atom

abc: 6.4787 6.5253 6.6269
angles: 104.56 98.85 90.56
Each line ends with the local moment (μB).
Fractional coordinates of all 10 atoms:
Ba1 0.0000 0.5000 0.0000  0.00
Ba2 0.5000 0.0000 0.0000  0.00
Ba3 0.0000 0.0000 0.5000  0.00
Ir1 0.0000 0.0000 0.0000  0.86
F1 0.1427 0.7755 0.7826  0.00
F2 0.8573 0.2245 0.2174  0.00
F3 0.7292 0.7350 0.2131  0.00
F4 0.2708 0.2650 0.7869  0.00
F5 0.7423 0.1842 0.7577  0.06
F6 0.2577 0.8158 0.2423  0.06

[6]
Compound: K12Au3S5
Source: Alexandria
Functional: GGA-PBE
Structure: relaxed

Computed properties:
final energy: -56.6 eV per formula unit
D(E_F): 102.87 states/eV/cell
space-group type: Ia-3d
energy relative to the elements, uncorrected: -650 meV/atom

abc: 16.5931 16.5931 16.5931
angles: 109.47 109.47 109.47
Each line ends with the local moment (μB).
Fractional coordinates of all 80 atoms:
Au1 0.7500 0.3750 0.1250  0.00
Au2 0.8750 0.7500 0.1250  0.00
Au3 0.3750 0.7500 0.6250  0.00
Au4 0.2500 0.1250 0.3750  0.00
Au5 0.8750 0.1250 0.2500  0.00
Au6 0.3750 0.6250 0.2500  0.00
Au7 0.6250 0.3750 0.7500  0.00
Au8 0.1250 0.8750 0.7500  0.00
Au9 0.7500 0.8750 0.6250  0.00
Au10 0.6250 0.2500 0.3750  0.00
Au11 0.1250 0.2500 0.8750  0.00
Au12 0.2500 0.6250 0.8750  0.00
S1 0.1250 0.3750 0.2500  0.20
S2 0.0000 0.5000 0.0000  0.06
S3 0.0000 0.0000 0.0000  0.06
S4 0.3750 0.2500 0.1250  0.20
S5 0.5000 0.0000 0.5000  0.06
S6 0.5000 0.5000 0.0000  0.06
S7 0.1250 0.7500 0.3750  0.20
S8 0.7500 0.1250 0.8750  0.20
S9 0.7500 0.6250 0.3750  0.20
S10 0.3750 0.1250 0.7500  0.20
S11 0.6250 0.8750 0.2500  0.20
S12 0.5000 0.5000 0.5000  0.06
S13 0.5000 0.0000 0.0000  0.06
S14 0.0000 0.0000 0.5000  0.06
S15 0.2500 0.3750 0.6250  0.20
S16 0.2500 0.8750 0.1250  0.20
S17 0.0000 0.5000 0.5000  0.06
S18 0.8750 0.2500 0.6250  0.20
S19 0.6250 0.7500 0.8750  0.20
S20 0.8750 0.6250 0.7500  0.20
K1 0.7062 0.1160 0.0305  0.00
K2 0.3243 0.5305 0.4144  0.00
K3 0.9695 0.3840 0.2938  0.00
K4 0.5305 0.2062 0.1160  0.00
K5 0.5901 0.7062 0.6757  0.00
K6 0.9695 0.5856 0.1757  0.00
K7 0.3243 0.7938 0.4099  0.00
K8 0.0856 0.9099 0.1160  0.00
K9 0.5856 0.9695 0.6757  0.00
K10 0.7062 0.5901 0.1757  0.00
K11 0.7938 0.4695 0.3840  0.00
K12 0.8243 0.9144 0.0305  0.00
K13 0.1160 0.7062 0.5305  0.00
K14 0.3840 0.4144 0.0901  0.00
K15 0.0901 0.9144 0.3840  0.00
K16 0.4099 0.1160 0.5856  0.00
K17 0.0901 0.1757 0.2062  0.00
K18 0.4695 0.6757 0.0856  0.00
K19 0.8243 0.9099 0.2938  0.00
K20 0.1160 0.4099 0.0856  0.00
K21 0.3840 0.9695 0.7938  0.00
K22 0.5856 0.6160 0.4099  0.00
K23 0.9144 0.8243 0.5305  0.00
K24 0.7938 0.3243 0.9099  0.00
K25 0.4144 0.3840 0.5901  0.00
K26 0.0856 0.1757 0.4695  0.00
K27 0.2062 0.6757 0.0901  0.00
K28 0.1757 0.0901 0.7062  0.00
K29 0.6160 0.0305 0.2062  0.00
K30 0.8840 0.5901 0.9144  0.00
K31 0.5305 0.3243 0.9144  0.00
K32 0.5901 0.8840 0.4144  0.00
K33 0.9099 0.8243 0.7938  0.00
K34 0.9099 0.0856 0.6160  0.00
K35 0.8840 0.2938 0.4695  0.00
K36 0.1757 0.0856 0.9695  0.00
K37 0.6160 0.5856 0.9099  0.00
K38 0.4144 0.0305 0.3243  0.00
K39 0.2938 0.4099 0.8243  0.00
K40 0.2062 0.5305 0.6160  0.00
K41 0.9144 0.0901 0.8840  0.00
K42 0.6757 0.2062 0.5901  0.00
K43 0.4695 0.7938 0.8840  0.00
K44 0.0305 0.4144 0.8243  0.00
K45 0.4099 0.2938 0.3243  0.00
K46 0.0305 0.6160 0.7062  0.00
K47 0.6757 0.4695 0.5856  0.00
K48 0.2938 0.8840 0.9695  0.00

[7]
Compound: Sc6AgHg3
Source: Alexandria
Functional: GGA-PBE
Structure: relaxed

Computed properties:
DFT formation energy: -294 meV/atom
final energy: -44.7 eV per formula unit
D(E_F): 19.83 states/eV/cell
space-group type: P2_1/m

abc: 5.0185 8.5309 10.8562
angles: 109.41 90.00 90.00
Each line ends with the local moment (μB).
Fractional coordinates of all 20 atoms:
Sc1 0.2500 0.4633 0.0867  0.17
Sc2 0.7500 0.5367 0.9133  0.17
Sc3 0.2500 0.1341 0.1665  0.19
Sc4 0.7500 0.8659 0.8335  0.19
Sc5 0.2500 0.6625 0.6776  0.02
Sc6 0.7500 0.3375 0.3224  0.02
Sc7 0.2500 0.2390 0.4927  0.00
Sc8 0.7500 0.7610 0.5073  0.00
Sc9 0.2500 0.8471 0.3100  0.08
Sc10 0.7500 0.1529 0.6900  0.08
Sc11 0.2500 0.0954 0.8735  0.14
Sc12 0.7500 0.9046 0.1265  0.14
Ag1 0.2500 0.9473 0.6032  0.00
Ag2 0.7500 0.0527 0.3968  0.00
Hg1 0.2500 0.5260 0.3769  0.00
Hg2 0.7500 0.4740 0.6231  0.00
Hg3 0.2500 0.3813 0.7837  0.01
Hg4 0.7500 0.6187 0.2163  0.01
Hg5 0.2500 0.7799 0.9762  0.00
Hg6 0.7500 0.2201 0.0238  0.00

[8]
Compound: CaBi2ClF
Source: Alexandria
Functional: GGA-PBE
Structure: relaxed

Computed properties:
final energy: -17.3 eV per formula unit
D(E_F): 3.71 states/eV/cell
space-group type: P4/mmm
energy relative to the elements, uncorrected: -768 meV/atom

abc: 6.3876 6.3876 4.0482
angles: 90.00 90.00 90.00
Fractional coordinates of all 5 atoms:
Ca1 0.0000 0.0000 0.0000
F1 0.0000 0.0000 0.5000
Bi1 0.0000 0.5000 0.0000
Bi2 0.5000 0.0000 0.0000
Cl1 0.5000 0.5000 0.5000

[9]
Compound: LiGa5Co
Source: Alexandria
Functional: GGA-PBE
Structure: relaxed

Computed properties:
DFT formation energy: -234 meV/atom
final energy: -25.8 eV per formula unit
D(E_F): 2.68 states/eV/cell
space-group type: P4/mmm

abc: 4.1136 4.1136 6.5350
angles: 90.00 90.00 90.00
Fractional coordinates of all 7 atoms:
Li1 0.0000 0.0000 0.0000
Ga1 0.5000 0.0000 0.7048
Ga2 0.0000 0.5000 0.7048
Ga3 0.5000 0.5000 0.0000
Ga4 0.0000 0.5000 0.2952
Ga5 0.5000 0.0000 0.2952
Co1 0.0000 0.0000 0.5000